A plane-wave DFT calculation with PBE was carried out for crystalline K3UPa2As6 at its relaxed geometry.

Calculated values
Calculated density: 5.8 Mg/m³
Energy of formation: -0.745 eV/atom

abc: 7.4156 7.4156 8.0080
angles: 98.88 98.88 120.00
Fractional positions:
1 As 0.2690 0.2690 0.8133
2 U 0.0000 0.0000 0.0000
3 As 0.3936 0.0623 0.1868
4 Pa 0.3334 0.6666 0.0000
5 As 0.0623 0.3936 0.1868
6 K 0.1667 0.8333 0.5000
7 As 0.7310 0.7310 0.1867
8 As 0.9377 0.6064 0.8132
9 As 0.6064 0.9377 0.8132
10 K 0.5000 0.5000 0.5000
11 Pa 0.6666 0.3334 0.0000
12 K 0.8333 0.1667 0.5000